Entry 1:
Here is crystalline NaCuCSO7 at its relaxed geometry from the Alexandria database. Energies are from PBE-GGA.

Calculated values
The value obtained for the total energy is -6.10 eV/atom.

Cell: 4.924 7.393 8.826 Å, 90.00 91.99 90.00°
Element x y z (fractional)
Na 0.248 0.000 0.242
Na 0.752 0.500 0.758
Cu 0.290 0.215 0.643
Cu 0.710 0.715 0.357
C 0.216 0.210 0.904
C 0.784 0.710 0.096
S 0.219 0.732 0.586
S 0.781 0.232 0.414
O 0.026 0.222 0.795
O 0.086 0.210 0.455
O 0.176 0.191 0.040
O 0.262 0.895 0.675
O 0.303 0.567 0.668
O 0.354 0.747 0.435
O 0.454 0.221 0.841
O 0.546 0.721 0.159
O 0.646 0.247 0.565
O 0.697 0.067 0.332
O 0.738 0.395 0.325
O 0.824 0.691 0.960
O 0.914 0.710 0.545
O 0.974 0.722 0.205

***

Entry 2:
Here is crystalline Li4Hg3As2 at its relaxed geometry from the Alexandria database. Energies are from PBE-GGA.

Calculated values
As for the formation enthalpy at 0 K: -35 kJ/mol of atoms. The value obtained for the total energy is -2.34 eV/atom.

Cell: 4.226 4.679 9.760 Å, 79.99 89.02 63.42°
Element x y z (fractional)
Li 0.005 0.014 0.203
Li 0.328 0.333 0.612
Li 0.672 0.667 0.388
Li 0.995 0.986 0.797
Hg 0.000 0.000 0.500
Hg 0.328 0.331 0.920
Hg 0.672 0.669 0.080
As 0.341 0.337 0.306
As 0.659 0.663 0.694

***

Entry 3:
Here is crystalline DyErPa2N4 at its relaxed geometry from the Alexandria database. Energies are from PBE-GGA.

Calculated values
The value obtained for the total energy is -9.35 eV/atom.

Cell: 6.015 3.469 6.039 Å, 90.00 109.46 90.00°
Element x y z (fractional)
Dy 0.000 0.000 0.000
Er 0.500 0.500 0.000
Pa 0.000 0.500 0.500
Pa 0.500 0.000 0.500
N 0.250 0.000 0.745
N 0.255 0.500 0.257
N 0.745 0.500 0.743
N 0.750 0.000 0.255